Entry 1:
Ce2ScHg8: optimized geometry, GGA-PBE.

Values from the calculation:
The energy relative to the elements is -0.2484 eV per atom. The value obtained for the density of states at the Fermi level is 16.919 states/eV/f.u. The calculated volume is 277.3 Å³/f.u. The space-group type is Immm, No. 71.

Cell lengths 8.596, 8.596, 8.596 Å; angles 144.89, 129.86, 62.68 degrees
Fractional positions:
Ce 0.196 0.196 0.000
Ce 0.804 0.804 0.000
Sc 0.500 0.500 0.000
Hg 0.079 0.365 0.714
Hg 0.224 0.000 0.224
Hg 0.338 0.838 0.500
Hg 0.348 0.635 0.714
Hg 0.652 0.365 0.286
Hg 0.662 0.162 0.500
Hg 0.776 0.000 0.776
Hg 0.921 0.635 0.286


Entry 2:
CaZn2Ni: optimized geometry, GGA-PBE.

Values from the calculation:
The energy relative to the elements is -0.2357 eV per atom. The value obtained for the density of states at the Fermi level is 2.267 states/eV/f.u. The calculated volume is 77.6 Å³/f.u. The space-group type is R-3m, No. 166.

Cell lengths 4.194, 4.194, 15.287 Å; angles 90.00, 90.00, 120.00 degrees
Fractional positions:
Ca 0.000 0.000 0.000
Ca 0.333 0.667 0.667
Ca 0.667 0.333 0.333
Zn 0.000 0.000 0.200
Zn 0.000 0.000 0.800
Zn 0.333 0.667 0.466
Zn 0.333 0.667 0.867
Zn 0.667 0.333 0.133
Zn 0.667 0.333 0.534
Ni 0.000 0.000 0.500
Ni 0.333 0.667 0.167
Ni 0.667 0.333 0.833


Entry 3:
HfGe3Cl: optimized geometry, GGA-PBE.

Values from the calculation:
The value obtained for the density of states at the Fermi level is 3.487 states/eV/f.u. The calculated volume is 110.9 Å³/f.u. As for the formation energy from raw total energies: 734 meV per atom. The space-group type is Pm-3m, No. 221.

Cell lengths 4.804, 4.804, 4.804 Å; angles 90.00, 90.00, 90.00 degrees
Fractional positions:
Hf 0.000 0.000 0.000
Ge 0.000 0.500 0.500
Ge 0.500 0.000 0.500
Ge 0.500 0.500 0.000
Cl 0.500 0.500 0.500


Entry 4:
Pm2MgPaRu2: optimized geometry, GGA-PBE.

Values from the calculation:
The energy relative to the elements is -0.2732 eV per atom. The value obtained for the density of states at the Fermi level is 5.907 states/eV/f.u. The calculated volume is 146.5 Å³/f.u. The space-group type is Ibam, No. 72.

Cell lengths 8.339, 8.339, 8.339 Å; angles 135.06, 66.77, 133.35 degrees
Fractional positions:
Pm 0.183 0.220 0.402
Pm 0.317 0.720 0.037
Pm 0.683 0.280 0.963
Pm 0.817 0.780 0.598
Mg 0.250 0.250 0.000
Mg 0.750 0.750 0.000
Pa 0.250 0.750 0.500
Pa 0.750 0.250 0.500
Ru 0.107 0.707 0.814
Ru 0.393 0.207 0.600
Ru 0.607 0.793 0.400
Ru 0.893 0.293 0.186